[1]
A geometry-optimized MgCd5In4 structure. Source: the Alexandria database, functional PBE.

abc: 3.5784 3.5784 19.3038
angles: 90.00 90.00 90.00
Sites, in units of the cell vectors:
1 In 0.0000 0.0000 0.3966
2 In 0.0000 0.0000 0.6034
3 In 0.0000 0.0000 0.1903
4 In 0.0000 0.0000 0.8097
5 Cd 0.5000 0.5000 0.7078
6 Cd 0.5000 0.5000 0.9110
7 Cd 0.5000 0.5000 0.5000
8 Cd 0.5000 0.5000 0.0890
9 Cd 0.5000 0.5000 0.2922
10 Mg 0.0000 0.0000 0.0000

Summary:
The space group is P4/mmm (123). The calculation puts the total moment at 0.00 Bohr magnetons per cell. The total energy is -1.68 eV/atom. The value obtained for the energy of formation from the pure elements is 3 kJ/mol of atoms. The density of states at the Fermi level is 4.26 states/eV per cell.

=====

[2]
A geometry-optimized CdSn2RhI structure. Source: the Alexandria database, functional PBE.

abc: 5.1400 5.1400 5.3851
angles: 90.00 90.00 90.00
Sites, in units of the cell vectors:
1 Rh 0.0000 0.0000 0.0000
2 Sn 0.5000 0.0000 0.0000
3 Sn 0.0000 0.5000 0.0000
4 I 0.5000 0.5000 0.5000
5 Cd 0.0000 0.0000 0.5000

Summary:
The space group is P4/mmm (123). The calculation puts the total moment at 0.00 Bohr magnetons per cell. The total energy is -3.78 eV/atom. The density of states at the Fermi level is 1.38 states/eV per cell.

=====

[3]
A geometry-optimized BaNa3Tl9 structure. Source: the Alexandria database, functional PBE.

abc: 6.4338 8.3978 8.6273
angles: 81.65 68.11 67.07
Sites, in units of the cell vectors:
1 Tl 0.3587 0.6457 0.6455
2 Tl 0.5056 0.2156 0.7825
3 Tl 0.0000 0.5000 0.0000
4 Tl 0.7119 0.7844 0.7825
5 Tl 0.9957 0.3543 0.6455
6 Tl 0.0043 0.6457 0.3545
7 Tl 0.4944 0.7844 0.2175
8 Tl 0.6413 0.3543 0.3545
9 Tl 0.2881 0.2156 0.2175
10 Ba 0.0000 0.0000 0.0000
11 Na 0.0000 0.0000 0.5000
12 Na 0.5000 0.5000 0.0000
13 Na 0.5000 0.0000 0.5000

Summary:
The space group is C2/m (12). The calculation puts the total moment at 0.00 Bohr magnetons per cell. The total energy is -2.22 eV/atom. The value obtained for the energy of formation from the pure elements is -12 kJ/mol of atoms. The density of states at the Fermi level is 7.28 states/eV per cell.